1.
DFT (PBE) results for an optimized crystal structure of ScBeP2.

```
16
Lattice="6.2088 0.0000 0.0000 0.0000 6.2088 0.0000 0.0000 0.0000 6.2088" Properties=species:S:1:pos:R:3 pbc="T T T"
Sc 0.0000 0.0000 0.0000
Sc 0.0000 3.1044 3.1044
Sc 3.1044 0.0000 3.1044
Sc 3.1044 3.1044 0.0000
Be 1.5522 1.5522 1.5522
Be 1.5522 4.6566 4.6566
Be 4.6566 1.5522 4.6566
Be 4.6566 4.6566 1.5522
P 0.0000 0.0000 3.1044
P 0.0000 3.1044 0.0000
P 1.5522 1.5522 4.6566
P 1.5522 4.6566 1.5522
P 3.1044 0.0000 0.0000
P 3.1044 3.1044 3.1044
P 4.6566 1.5522 1.5522
P 4.6566 4.6566 4.6566
```

## Properties
- DOS at the Fermi energy: 0.681 states/eV per atom
- DFT formation energy: 66 kJ/mol of formula units

2.
DFT (PBE) results for an optimized crystal structure of ScBeP2.

```
4
Lattice="3.5014 0.0000 0.0000 0.0000 3.7370 0.0000 0.0000 0.0000 4.4263" Properties=species:S:1:pos:R:3 pbc="T T T"
Sc 0.0000 0.0000 0.0000
Be 0.0000 1.8685 2.2132
P 1.7507 0.0000 2.2132
P 1.7507 1.8685 0.0000
```

## Properties
- DOS at the Fermi energy: 0.366 states/eV per atom
- DFT formation energy: -125 kJ/mol of formula units

3.
DFT (PBE) results for an optimized crystal structure of ScBeP2.

```
4
Lattice="3.4821 0.0000 0.0000 0.0000 3.7621 0.0000 -1.2656 0.0000 5.3382" Properties=species:S:1:pos:R:3 pbc="T T T"
Sc 0.0000 0.0000 0.0000
Be 1.9856 1.8811 1.6607
P 0.4513 1.8811 4.8846
P 2.3311 0.0000 2.5344
```

## Properties
- DOS at the Fermi energy: 0.249 states/eV per atom
- DFT formation energy: -194 kJ/mol of formula units

4.
DFT (PBE) results for an optimized crystal structure of Sc2BeP4.

```
14
Lattice="3.9507 0.0000 0.0000 0.0000 3.9507 0.0000 0.0000 0.0000 15.6657" Properties=species:S:1:pos:R:3 pbc="T T T"
Sc 0.0000 0.0000 2.4788
Sc 0.0000 0.0000 13.1869
Sc 1.9753 1.9753 5.3540
Sc 1.9753 1.9753 10.3117
Be 0.0000 0.0000 7.8329
Be 1.9753 1.9753 0.0000
P 0.0000 0.0000 5.0734
P 0.0000 0.0000 10.5923
P 0.0000 1.9753 0.0000
P 0.0000 1.9753 7.8329
P 1.9753 0.0000 0.0000
P 1.9753 0.0000 7.8329
P 1.9753 1.9753 2.7595
P 1.9753 1.9753 12.9063
```

## Properties
- DOS at the Fermi energy: 0.505 states/eV per atom
- DFT formation energy: -205 kJ/mol of formula units

5.
DFT (PBE) results for an optimized crystal structure of ScBe2P.

```
4
Lattice="3.0966 0.0000 0.0000 0.0000 3.0966 0.0000 0.0000 0.0000 5.5659" Properties=species:S:1:pos:R:3 pbc="T T T"
Sc 0.0000 0.0000 0.0000
Be 0.0000 0.0000 2.8058
Be 1.5483 1.5483 1.8332
P 1.5483 1.5483 3.9298
```

## Properties
- DOS at the Fermi energy: 0.612 states/eV per atom
- DFT formation energy: -46 kJ/mol of formula units

6.
DFT (PBE) results for an optimized crystal structure of ScBe2P.

```
4
Lattice="3.6775 0.0000 0.0000 0.0000 3.6938 0.0000 0.0000 0.0000 4.1699" Properties=species:S:1:pos:R:3 pbc="T T T"
Sc 0.0000 0.0000 0.0000
Be 1.8387 1.8469 0.9928
Be 1.8387 1.8469 3.1771
P 0.0000 1.8469 2.0849
```

## Properties
- DOS at the Fermi energy: 0.327 states/eV per atom
- DFT formation energy: -130 kJ/mol of formula units

7.
DFT (PBE) results for an optimized crystal structure of ScBeP3.

```
5
Lattice="4.3138 0.0000 0.0000 0.0000 4.3138 0.0000 0.0000 0.0000 4.3138" Properties=species:S:1:pos:R:3 pbc="T T T"
Sc 0.0000 0.0000 0.0000
Be 2.1569 2.1569 2.1569
P 0.0000 2.1569 2.1569
P 2.1569 0.0000 2.1569
P 2.1569 2.1569 0.0000
```

## Properties
- DOS at the Fermi energy: 0.707 states/eV per atom
- DFT formation energy: 59 kJ/mol of formula units
- Polymorph energy (0 for the lowest one): 0 meV per atom

8.
DFT (PBE) results for an optimized crystal structure of ScBe2P.

```
8
Lattice="3.5911 0.0000 0.0000 0.0000 3.5911 0.0000 0.0000 0.0000 8.0673" Properties=species:S:1:pos:R:3 pbc="T T T"
Sc 0.0000 0.0000 0.0000
Sc 1.7956 1.7956 4.0336
Be 0.0000 0.0000 4.0336
Be 0.0000 1.7956 6.0504
Be 1.7956 0.0000 2.0168
Be 1.7956 1.7956 0.0000
P 0.0000 1.7956 2.0168
P 1.7956 0.0000 6.0504
```

## Properties
- DOS at the Fermi energy: 0.528 states/eV per atom
- DFT formation energy: -40 kJ/mol of formula units